The following is a PBE calculation of a relaxed Cd2IrOs crystal, from Alexandria.

## Properties
As for the formation enthalpy at 0 K: 0.258 eV/atom. The energy above the most stable polymorph in this dataset comes out at 77 meV/atom.

a = 2.8536 Å, b = 2.8536 Å, c = 29.2462 Å
α = 90.00°, β = 90.00°, γ = 120.00°
Space group R3m (No. 160, hexagonal axes)
Symmetry-distinct sites (fractional):
Cd: 0.0000 0.0000 0.0000 (multiplicity 3)
Cd: 0.0000 0.0000 0.2374 (multiplicity 3)
Ir: 0.0000 0.0000 0.7500 (multiplicity 3)
Os: 0.0000 0.0000 0.4868 (multiplicity 3)

***

The following is a PBE calculation of a relaxed Cd2IrOs crystal, from Alexandria.

## Properties
As for the formation enthalpy at 0 K: 0.619 eV/atom. The energy above the most stable polymorph in this dataset comes out at 438 meV/atom.

a = 6.4988 Å, b = 6.4988 Å, c = 6.4988 Å
α = 90.00°, β = 90.00°, γ = 90.00°
Space group F-43m (No. 216)
Symmetry-distinct sites (fractional):
Cd: 0.0000 0.0000 0.0000 (multiplicity 4)
Cd: 0.2500 0.2500 0.2500 (multiplicity 4)
Ir: 0.0000 0.0000 0.5000 (multiplicity 4)
Os: 0.2500 0.2500 0.7500 (multiplicity 4)

***

The following is a PBE calculation of a relaxed CdIr4Os crystal, from Alexandria.

## Properties
As for the formation enthalpy at 0 K: 0.673 eV/atom.

a = 7.3309 Å, b = 7.3309 Å, c = 7.3309 Å
α = 90.00°, β = 90.00°, γ = 90.00°
Space group F-43m (No. 216)
Symmetry-distinct sites (fractional):
Cd: 0.0000 0.0000 0.0000 (multiplicity 4)
Ir: 0.1250 0.1250 0.6250 (multiplicity 16)
Os: 0.2500 0.2500 0.2500 (multiplicity 4)

***

The following is a PBE calculation of a relaxed Cd2IrOs crystal, from Alexandria.

## Properties
As for the formation enthalpy at 0 K: 0.512 eV/atom. The energy above the most stable polymorph in this dataset comes out at 332 meV/atom.

a = 2.9262 Å, b = 4.8149 Å, c = 9.6076 Å
α = 90.00°, β = 90.00°, γ = 90.00°
Space group Cmmm (No. 65)
Symmetry-distinct sites (fractional):
Cd: 0.0000 0.0000 0.2474 (multiplicity 4)
Ir: 0.0000 0.5000 0.0000 (multiplicity 2)
Os: 0.0000 0.5000 0.5000 (multiplicity 2)

***

The following is a PBE calculation of a relaxed Cd2IrOs crystal, from Alexandria.

## Properties
As for the formation enthalpy at 0 K: 0.600 eV/atom. The energy above the most stable polymorph in this dataset comes out at 420 meV/atom.

a = 5.6118 Å, b = 8.6503 Å, c = 2.8091 Å
α = 90.00°, β = 90.00°, γ = 90.00°
Space group Cmmm (No. 65)
Symmetry-distinct sites (fractional):
Cd: 0.2500 0.2500 0.0000 (multiplicity 4)
Ir: 0.0000 0.0000 0.5000 (multiplicity 2)
Os: 0.0000 0.5000 0.5000 (multiplicity 2)

***

The following is a PBE calculation of a relaxed Cd2IrOs crystal, from Alexandria.

## Properties
As for the formation enthalpy at 0 K: 1.007 eV/atom. The energy above the most stable polymorph in this dataset comes out at 826 meV/atom.

a = 7.6097 Å, b = 7.6097 Å, c = 5.2077 Å
α = 90.00°, β = 90.00°, γ = 90.00°
Space group I-42d (No. 122)
Symmetry-distinct sites (fractional):
Cd: 0.2468 0.2500 0.1250 (multiplicity 8)
Ir: 0.0000 0.0000 0.0000 (multiplicity 4)
Os: 0.0000 0.0000 0.5000 (multiplicity 4)

***

The following is a PBE calculation of a relaxed RbCd2IrOs crystal, from Alexandria.

## Properties
As for the formation enthalpy at 0 K: 2.839 eV/atom.

a = 5.6310 Å, b = 5.6310 Å, c = 4.8777 Å
α = 90.00°, β = 90.00°, γ = 90.00°
Space group P4/mmm (No. 123)
Symmetry-distinct sites (fractional):
Rb: 0.0000 0.0000 0.0000 (multiplicity 1)
Cd: 0.0000 0.5000 0.0000 (multiplicity 2)
Ir: 0.0000 0.0000 0.5000 (multiplicity 1)
Os: 0.5000 0.5000 0.5000 (multiplicity 1)

***

The following is a PBE calculation of a relaxed Cd2TeIrOs crystal, from Alexandria.

## Properties
The value obtained for the energy relative to the elements, uncorrected is 1.390 eV per atom.

a = 5.1804 Å, b = 5.1804 Å, c = 4.9325 Å
α = 90.00°, β = 90.00°, γ = 90.00°
Space group P4/mmm (No. 123)
Symmetry-distinct sites (fractional):
Cd: 0.0000 0.5000 0.0000 (multiplicity 2)
Te: 0.0000 0.0000 0.5000 (multiplicity 1)
Ir: 0.0000 0.0000 0.0000 (multiplicity 1)
Os: 0.5000 0.5000 0.5000 (multiplicity 1)

***

The following is a PBE calculation of a relaxed ZnCdIr2Os crystal, from Alexandria.

## Properties
As for the formation enthalpy at 0 K: 1.397 eV/atom.

a = 4.7294 Å, b = 4.7294 Å, c = 5.1556 Å
α = 90.00°, β = 90.00°, γ = 90.00°
Space group P4/mmm (No. 123)
Symmetry-distinct sites (fractional):
Zn: 0.0000 0.0000 0.0000 (multiplicity 1)
Cd: 0.5000 0.5000 0.0000 (multiplicity 1)
Ir: 0.0000 0.5000 0.5000 (multiplicity 2)
Os: 0.5000 0.5000 0.5000 (multiplicity 1)

***

The following is a PBE calculation of a relaxed CdPIr2 crystal, from Alexandria.

## Properties
As for the formation enthalpy at 0 K: 0.553 eV/atom. The energy above the most stable polymorph in this dataset comes out at 645 meV/atom.

a = 6.3442 Å, b = 6.3442 Å, c = 6.3442 Å
α = 90.00°, β = 90.00°, γ = 90.00°
Space group F-43m (No. 216)
Symmetry-distinct sites (fractional):
Cd: 0.0000 0.0000 0.0000 (multiplicity 4)
P: 0.2500 0.2500 0.7500 (multiplicity 4)
Ir: 0.0000 0.0000 0.5000 (multiplicity 4)
Ir: 0.2500 0.2500 0.2500 (multiplicity 4)

***

The following is a PBE calculation of a relaxed Cd2PIr crystal, from Alexandria.

## Properties
As for the formation enthalpy at 0 K: -0.029 eV/atom.

a = 10.5373 Å, b = 3.0571 Å, c = 4.8850 Å
α = 90.00°, β = 105.75°, γ = 90.00°
Space group Cm (No. 8)
Symmetry-distinct sites (fractional):
Cd: 0.0000 0.0000 0.0000 (multiplicity 2)
Cd: 0.1920 0.0000 0.6416 (multiplicity 2)
P: 0.2929 0.5000 0.2357 (multiplicity 2)
Ir: 0.4457 0.0000 0.4861 (multiplicity 2)

***

The following is a PBE calculation of a relaxed Cd2P4Ir crystal, from Alexandria.

## Properties
As for the formation enthalpy at 0 K: 0.591 eV/atom.

a = 4.4242 Å, b = 4.4242 Å, c = 15.9111 Å
α = 90.00°, β = 90.00°, γ = 90.00°
Space group I4/mmm (No. 139)
Symmetry-distinct sites (fractional):
Cd: 0.0000 0.0000 0.1652 (multiplicity 4)
P: 0.0000 0.0000 0.3420 (multiplicity 4)
P: 0.0000 0.5000 0.0000 (multiplicity 4)
Ir: 0.0000 0.0000 0.5000 (multiplicity 2)

***

The following is a PBE calculation of a relaxed CdPIr2 crystal, from Alexandria.

## Properties
As for the formation enthalpy at 0 K: -0.078 eV/atom. The energy above the most stable polymorph in this dataset comes out at 13 meV/atom.

a = 14.6129 Å, b = 2.9369 Å, c = 3.1406 Å
α = 90.00°, β = 100.38°, γ = 90.00°
Space group Cm (No. 8)
Symmetry-distinct sites (fractional):
Cd: 0.0000 0.0000 0.0000 (multiplicity 2)
P: 0.2419 0.5000 0.2153 (multiplicity 2)
Ir: 0.1699 0.0000 0.6549 (multiplicity 2)
Ir: 0.3644 0.0000 0.3776 (multiplicity 2)

***

The following is a PBE calculation of a relaxed Cd2PIr crystal, from Alexandria.

## Properties
As for the formation enthalpy at 0 K: 0.370 eV/atom.

a = 10.0976 Å, b = 3.0266 Å, c = 4.6085 Å
α = 90.00°, β = 95.60°, γ = 90.00°
Space group C2/m (No. 12)
Symmetry-distinct sites (fractional):
Cd: 0.2328 0.0000 0.2434 (multiplicity 4)
P: 0.0000 0.0000 0.5000 (multiplicity 2)
Ir: 0.0000 0.5000 0.0000 (multiplicity 2)

***

The following is a PBE calculation of a relaxed CdPIr crystal, from Alexandria.

## Properties
As for the formation enthalpy at 0 K: -0.100 eV/atom.

a = 3.9436 Å, b = 3.9436 Å, c = 4.0418 Å
α = 90.00°, β = 90.00°, γ = 120.00°
Space group P-6m2 (No. 187)
Symmetry-distinct sites (fractional):
Cd: 0.0000 0.0000 0.0000 (multiplicity 1)
P: 0.6667 0.3333 0.5000 (multiplicity 1)
Ir: 0.3333 0.6667 0.5000 (multiplicity 1)

***

Number 1: energy -62.7 eV for the cell shown, Fermi-level density of states 8.0 states/eV per cell. Number 2: energy -77.8 eV for the cell shown, Fermi-level density of states 20.0 states/eV per cell. Number 3: energy -174.2 eV for the cell shown, Fermi-level density of states 31.8 states/eV per cell. Number 4: energy -39.7 eV for the cell shown, Fermi-level density of states 8.6 states/eV per cell. Number 5: energy -39.0 eV for the cell shown, Fermi-level density of states 10.6 states/eV per cell. Number 6: energy -71.6 eV for the cell shown, Fermi-level density of states 15.2 states/eV per cell. Number 7: energy -8.7 eV for the cell shown, Fermi-level density of states 6.3 states/eV per cell. Number 8: energy -18.1 eV for the cell shown, Fermi-level density of states 5.5 states/eV per cell. Number 9: energy -24.2 eV for the cell shown, Fermi-level density of states 4.1 states/eV per cell. Number 10: energy -87.3 eV for the cell shown, Fermi-level density of states 18.6 states/eV per cell. Number 11: energy -32.4 eV for the cell shown, Fermi-level density of states 2.4 states/eV per cell. Number 12: energy -56.4 eV for the cell shown, Fermi-level density of states 7.9 states/eV per cell. Number 13: energy -48.7 eV for the cell shown, Fermi-level density of states 2.8 states/eV per cell. Number 14: energy -29.2 eV for the cell shown, Fermi-level density of states 4.9 states/eV per cell. Number 15: energy -15.5 eV for the cell shown, Fermi-level density of states 1.6 states/eV per cell.